Entry 1:
Compound: NaPrDySn
Source: Alexandria
Functional: PBE-GGA
Structure: optimized geometry

Formation energy from the elements in meV/atom: -299
Spin magnetization in μB/f.u.: 0.0
VASP energy in eV/atom: -3.98
SG: F-43m, No. 216

```
NaPrDySn
1.0
0.0000 3.8396 3.8396
3.8396 0.0000 3.8396
3.8396 3.8396 0.0000
Na Pr Dy Sn
1 1 1 1
Direct
0.0000 0.0000 0.0000
0.7500 0.7500 0.7500
0.2500 0.2500 0.2500
0.5000 0.5000 0.5000
```

---

Entry 2:
Compound: NaPr3Dy2Te6
Source: Alexandria
Functional: PBE-GGA
Structure: optimized geometry

Raw formation energy in eV per atom: -1.3646
Spin magnetization in μB/f.u.: 0.0
VASP energy in eV/atom: -5.01
SG: C2/m, No. 12

```
NaPr3Dy2Te6
1.0
9.7710 -2.2210 0.0000
9.7710 2.2210 0.0000
-2.1263 0.0000 8.7322
Na Pr Dy Te
1 3 2 6
Direct
0.0000 0.0000 0.0000
0.0000 0.0000 0.5000
0.3397 0.3397 0.1771
0.6603 0.6603 0.8229
0.3343 0.3343 0.6614
0.6657 0.6657 0.3386
0.1683 0.1683 0.0925
0.1699 0.1699 0.5759
0.4941 0.4941 0.7547
0.5059 0.5059 0.2453
0.8301 0.8301 0.4241
0.8317 0.8317 0.9075
```

---

Entry 3:
Compound: Na4PrDy3Te8
Source: Alexandria
Functional: PBE-GGA
Structure: optimized geometry

Raw formation energy in eV per atom: -1.3166
Spin magnetization in μB/f.u.: 0.0
VASP energy in eV/atom: -4.38
SG: R-3m, No. 166

```
Na4PrDy3Te8
1.0
4.4662 2.5786 7.5690
-4.4662 2.5786 7.5690
0.0000 -5.1571 7.5690
Na Pr Dy Te
4 1 3 8
Direct
0.0000 0.0000 0.0000
0.0000 0.5000 0.5000
0.5000 0.0000 0.5000
0.5000 0.5000 0.0000
0.5000 0.5000 0.5000
0.0000 0.0000 0.5000
0.0000 0.5000 0.0000
0.5000 0.0000 0.0000
0.2370 0.7491 0.7491
0.2436 0.2436 0.2436
0.2509 0.2509 0.7630
0.2509 0.7630 0.2509
0.7491 0.2370 0.7491
0.7491 0.7491 0.2370
0.7564 0.7564 0.7564
0.7630 0.2509 0.2509
```

---

Entry 4:
Compound: Na2PrDyTe4
Source: Alexandria
Functional: PBE-GGA
Structure: optimized geometry

Raw formation energy in eV per atom: -1.3190
Spin magnetization in μB/f.u.: 0.0
VASP energy in eV/atom: -4.39
SG: P2/m, No. 10

```
Na2PrDyTe4
1.0
7.8025 0.0000 0.0000
0.0000 4.5041 0.0000
-2.5974 0.0000 7.5721
Na Pr Dy Te
2 1 1 4
Direct
0.0000 0.0000 0.0000
0.5000 0.5000 0.0000
0.0000 0.5000 0.5000
0.5000 0.0000 0.5000
0.2544 0.0000 0.7385
0.2635 0.5000 0.2660
0.7365 0.5000 0.7340
0.7456 0.0000 0.2615
```

---

Entry 5:
Compound: Na2PrDy3Te6
Source: Alexandria
Functional: PBE-GGA
Structure: optimized geometry

Raw formation energy in eV per atom: -1.3276
Spin magnetization in μB/f.u.: 0.0
VASP energy in eV/atom: -4.67
SG: C2/m, No. 12

```
Na2PrDy3Te6
1.0
3.8248 -6.6216 0.0000
3.8248 6.6216 0.0000
-2.5518 0.0000 7.3748
Na Pr Dy Te
2 1 3 6
Direct
0.1670 0.8330 0.0000
0.8330 0.1670 0.0000
0.5000 0.5000 0.0000
0.0000 0.0000 0.5000
0.3337 0.6663 0.5000
0.6663 0.3337 0.5000
0.0777 0.4135 0.7403
0.2511 0.2511 0.2606
0.4135 0.0777 0.7403
0.5865 0.9223 0.2597
0.7489 0.7489 0.7394
0.9223 0.5865 0.2597
```

---

Entry 6:
Compound: NaPrDy2Te4
Source: Alexandria
Functional: PBE-GGA
Structure: optimized geometry

Raw formation energy in eV per atom: -1.3407
Spin magnetization in μB/f.u.: 0.0
VASP energy in eV/atom: -4.82
SG: P2/m, No. 10

```
NaPrDy2Te4
1.0
7.7114 0.0000 0.0000
0.0000 4.3940 0.0000
-2.5000 0.0000 7.3366
Na Pr Dy Te
1 1 2 4
Direct
0.0000 0.0000 0.0000
0.5000 0.5000 0.0000
0.0000 0.5000 0.5000
0.5000 0.0000 0.5000
0.2422 0.0000 0.7393
0.2512 0.5000 0.2604
0.7488 0.5000 0.7396
0.7578 0.0000 0.2607
```

---

Entry 7:
Compound: NaPr2Dy3Te6
Source: Alexandria
Functional: PBE-GGA
Structure: optimized geometry

Raw formation energy in eV per atom: -1.3577
Spin magnetization in μB/f.u.: 0.0
VASP energy in eV/atom: -4.99
SG: C2/m, No. 12

```
NaPr2Dy3Te6
1.0
9.7389 -2.2022 0.0000
9.7389 2.2022 0.0000
-2.1753 0.0000 8.7004
Na Pr Dy Te
1 2 3 6
Direct
0.0000 0.0000 0.0000
0.3284 0.3284 0.6549
0.6716 0.6716 0.3451
0.0000 0.0000 0.5000
0.3329 0.3329 0.1713
0.6671 0.6671 0.8287
0.1612 0.1612 0.5924
0.1680 0.1680 0.0751
0.4984 0.4984 0.2542
0.5016 0.5016 0.7458
0.8320 0.8320 0.9249
0.8388 0.8388 0.4076
```

---

Entry 8:
Compound: NaPr4Dy3Te8
Source: Alexandria
Functional: PBE-GGA
Structure: optimized geometry

Raw formation energy in eV per atom: -1.3637
Spin magnetization in μB/f.u.: 0.0
VASP energy in eV/atom: -5.07
SG: R-3m, No. 166

```
NaPr4Dy3Te8
1.0
4.4366 2.5615 7.3528
-4.4366 2.5615 7.3528
0.0000 -5.1230 7.3528
Na Pr Dy Te
1 4 3 8
Direct
0.0000 0.0000 0.0000
0.0000 0.0000 0.5000
0.0000 0.5000 0.0000
0.5000 0.0000 0.0000
0.5000 0.5000 0.5000
0.0000 0.5000 0.5000
0.5000 0.0000 0.5000
0.5000 0.5000 0.0000
0.2455 0.2455 0.7448
0.2455 0.7448 0.2455
0.2548 0.2548 0.2548
0.2552 0.7545 0.7545
0.7448 0.2455 0.2455
0.7452 0.7452 0.7452
0.7545 0.2552 0.7545
0.7545 0.7545 0.2552
```

---

Entry 9:
Compound: Na2Pr3DyTe6
Source: Alexandria
Functional: PBE-GGA
Structure: optimized geometry

Raw formation energy in eV per atom: -1.3537
Spin magnetization in μB/f.u.: 0.0
VASP energy in eV/atom: -4.72
SG: C2/m, No. 12

```
Na2Pr3DyTe6
1.0
3.8969 -6.7435 0.0000
3.8969 6.7435 0.0000
-2.5862 0.0000 7.3901
Na Pr Dy Te
2 3 1 6
Direct
0.1654 0.8346 0.0000
0.8346 0.1654 0.0000
0.0000 0.0000 0.5000
0.3296 0.6704 0.5000
0.6704 0.3296 0.5000
0.5000 0.5000 0.0000
0.0924 0.4199 0.7593
0.2559 0.2559 0.2463
0.4199 0.0924 0.7593
0.5801 0.9076 0.2407
0.7441 0.7441 0.7537
0.9076 0.5801 0.2407
```

---

Entry 10:
Compound: NaDy3Pt8
Source: Alexandria
Functional: PBE-GGA
Structure: optimized geometry

Formation energy from the elements in meV/atom: -930
Spin magnetization in μB/f.u.: 0.0
VASP energy in eV/atom: -6.22
SG: P3m1, No. 156

```
NaDy3Pt8
1.0
5.4285 0.0000 0.0000
-2.7142 4.7012 0.0000
0.0000 0.0000 8.8490
Na Dy Pt
1 3 8
Direct
0.0000 0.0000 0.0000
0.0000 0.0000 0.3579
0.6667 0.3333 0.5171
0.6667 0.3333 0.8960
0.1640 0.3279 0.6937
0.1640 0.8360 0.6937
0.3333 0.6667 0.4463
0.3333 0.6667 0.9457
0.5025 0.0050 0.1980
0.5025 0.4975 0.1980
0.6721 0.8360 0.6937
0.9950 0.4975 0.1980
```

---

Entry 11:
Compound: NaDySnPt
Source: Alexandria
Functional: PBE-GGA
Structure: optimized geometry

Formation energy from the elements in meV/atom: -692
Spin magnetization in μB/f.u.: 0.0
VASP energy in eV/atom: -4.68
SG: F-43m, No. 216

```
NaDySnPt
1.0
0.0000 3.4451 3.4451
3.4451 0.0000 3.4451
3.4451 3.4451 0.0000
Na Dy Sn Pt
1 1 1 1
Direct
0.0000 0.0000 0.0000
0.2500 0.2500 0.2500
0.7500 0.7500 0.7500
0.5000 0.5000 0.5000
```

---

Entry 12:
Compound: NaDy2Pu
Source: Alexandria
Functional: PBE-GGA
Structure: optimized geometry

Formation energy from the elements in meV/atom: 247
Spin magnetization in μB/f.u.: 5.6
VASP energy in eV/atom: -5.97
SG: R-3m, No. 166

```
NaDy2Pu
1.0
1.7194 0.9927 12.4484
-1.7194 0.9927 12.4484
0.0000 -1.9854 12.4484
Na Dy Pu
1 2 1
Direct
0.0000 0.0000 0.0000
0.0933 0.0933 0.0933
0.9067 0.9067 0.9067
0.5000 0.5000 0.5000
```